SnBrO2F | meta-GGA SCAN | PBEsol geometry

Values from the calculation:
Formation energy without anion corrections in eV/atom: -0.87
Calculated volume in Å³/atom: 13.84

Lattice parameters (Å, degrees): 4.0718 4.0718 4.1727 90.00 90.00 90.00
Last column: nearest neighbours and their distance in Å.
Space group P4/mmm (No. 123)
Inequivalent atoms, fractional coordinates:
Sn  0.0000  0.0000  0.0000  4 O 2.04, 2 F 2.09
Br  0.5000  0.5000  0.5000  4 F 2.88, 8 O 2.92
O  0.0000  0.5000  0.0000  2 Sn 2.04
F  0.0000  0.0000  0.5000  2 Sn 2.09